Hf2BRh after structural relaxation, computed with PBE.

It has space group I-42d (No. 122), with a = 6.5851 Å, b = 6.5851 Å, c = 6.3883 Å, α = 90.00°, β = 90.00° and γ = 90.00°. The distinct sites, in fractional coordinates, are Hf at (0.2107, 0.2500, 0.1250), B at (0.0000, 0.0000, 0.0000) and Rh at (0.0000, 0.0000, 0.5000).

Its crystal system is tetragonal. For the energy of formation, the calculation gives -0.032 eV per atom. For the total magnetic moment, the calculation gives 0.000 μB per atom. The calculation puts the density of states at the Fermi level at 0.886 states/eV/atom. The value obtained for the mass density is 11.29 g/cm3.

---

As3SeI7 after structural relaxation, computed with PBE.

It has space group Cm (No. 8), with a = 14.3145 Å, b = 8.2222 Å, c = 10.2087 Å, α = 90.00°, β = 133.51° and γ = 90.00°. The distinct sites, in fractional coordinates, are As at (0.0000, 0.0000, 0.0000), As at (0.2454, 0.2654, 0.9628), Se at (0.4135, 0.5000, 0.1591), I at (0.0346, 0.0000, 0.7336), I at (0.0418, 0.5000, 0.7408), I at (0.1766, 0.2432, 0.2065), I at (0.2839, 0.2504, 0.7382) and I at (0.4257, 0.0000, 0.1939).

Its crystal system is monoclinic. The total energy is -60.01 eV per cell. For the total magnetic moment, the calculation gives 0.000 μB per atom. The value obtained for the mass density is 4.54 g/cm3.

---

RbOsPd3 after structural relaxation, computed with PBE.

It has space group Pm-3m (No. 221), with a = 4.9875 Å, b = 4.9875 Å, c = 4.9875 Å, α = 90.00°, β = 90.00° and γ = 90.00°. The distinct sites, in fractional coordinates, are Rb at (0.0000, 0.0000, 0.0000), Os at (0.5000, 0.5000, 0.5000) and Pd at (0.0000, 0.0000, 0.5000).

Its crystal system is cubic. For the energy of formation, the calculation gives 2.426 eV per atom. For the total magnetic moment, the calculation gives 0.668 μB per atom. The calculation puts the density of states at the Fermi level at 1.089 states/eV/atom. The value obtained for the mass density is 7.96 g/cm3.

---

SrMg6Cr after structural relaxation, computed with PBE.

It has space group Amm2 (No. 38), with a = 5.1664 Å, b = 6.5370 Å, c = 12.0747 Å, α = 90.00°, β = 90.00° and γ = 90.00°. The distinct sites, in fractional coordinates, are Sr at (0.0000, 0.0000, 0.0000), Mg at (0.0000, 0.0000, 0.5326), Mg at (0.0000, 0.2493, 0.7619), Mg at (0.5000, 0.0000, 0.3679), Mg at (0.5000, 0.2412, 0.6188) and Cr at (0.5000, 0.0000, 0.8287).

Its crystal system is orthorhombic. For the energy of formation, the calculation gives 0.212 eV per atom. For the total magnetic moment, the calculation gives 0.564 μB per atom. The calculation puts the density of states at the Fermi level at 0.515 states/eV/atom. The value obtained for the mass density is 2.32 g/cm3.

---

ReAsS2N after structural relaxation, computed with PBE.

It has space group P4/mmm (No. 123), with a = 4.7906 Å, b = 4.7906 Å, c = 3.5041 Å, α = 90.00°, β = 90.00° and γ = 90.00°. The distinct sites, in fractional coordinates, are Re at (0.0000, 0.0000, 0.0000), As at (0.5000, 0.5000, 0.5000), S at (0.0000, 0.5000, 0.5000) and N at (0.5000, 0.5000, 0.0000).

Its crystal system is tetragonal. The total energy is -26.03 eV per cell. For the total magnetic moment, the calculation gives 0.626 μB per atom. The calculation puts the density of states at the Fermi level at 0.609 states/eV/atom. The value obtained for the mass density is 7.01 g/cm3.

---

Mn3TlH after structural relaxation, computed with PBE.

It has space group Pm-3m (No. 221), with a = 5.2536 Å, b = 5.2536 Å, c = 5.2536 Å, α = 90.00°, β = 90.00° and γ = 90.00°. The distinct sites, in fractional coordinates, are Mn at (0.0000, 0.0000, 0.5000), Tl at (0.0000, 0.0000, 0.0000) and H at (0.5000, 0.5000, 0.5000).

Its crystal system is cubic. The total energy is -24.97 eV per cell. For the total magnetic moment, the calculation gives 2.940 μB per atom. The calculation puts the density of states at the Fermi level at 0.510 states/eV/atom. The value obtained for the mass density is 4.24 g/cm3.

---

LiYCuRu2 after structural relaxation, computed with PBE.

It has space group P4/mmm (No. 123), with a = 4.9243 Å, b = 4.9243 Å, c = 5.1314 Å, α = 90.00°, β = 90.00° and γ = 90.00°. The distinct sites, in fractional coordinates, are Li at (0.0000, 0.0000, 0.0000), Y at (0.5000, 0.5000, 0.5000), Cu at (0.5000, 0.5000, 0.0000) and Ru at (0.0000, 0.5000, 0.5000).

Its crystal system is tetragonal. For the energy of formation, the calculation gives 1.511 eV per atom. For the total magnetic moment, the calculation gives 0.494 μB per atom. The calculation puts the density of states at the Fermi level at 1.272 states/eV/atom. The value obtained for the mass density is 4.82 g/cm3.

---

Pr3Mg5Cd2 after structural relaxation, computed with PBE.

It has space group Ibam (No. 72), with a = 12.9344 Å, b = 13.4697 Å, c = 6.4449 Å, α = 90.00°, β = 90.00° and γ = 90.00°. The distinct sites, in fractional coordinates, are Pr at (0.0000, 0.0000, 0.2500), Pr at (0.1259, 0.2509, 0.0000), Mg at (0.0000, 0.5000, 0.2500), Mg at (0.1199, 0.3536, 0.5000), Mg at (0.2434, 0.5000, 0.2500) and Cd at (0.1422, 0.1522, 0.5000).

Its crystal system is orthorhombic. For the energy of formation, the calculation gives -0.050 eV per atom. For the total magnetic moment, the calculation gives 0.000 μB per atom. The calculation puts the density of states at the Fermi level at 0.888 states/eV/atom. The value obtained for the mass density is 4.55 g/cm3.

---

BiSb2TeSe after structural relaxation, computed with PBE.

It has space group P4/mmm (No. 123), with a = 5.8620 Å, b = 5.8620 Å, c = 5.8690 Å, α = 90.00°, β = 90.00° and γ = 90.00°. The distinct sites, in fractional coordinates, are Bi at (0.0000, 0.0000, 0.0000), Sb at (0.0000, 0.5000, 0.0000), Te at (0.0000, 0.0000, 0.5000) and Se at (0.5000, 0.5000, 0.5000).

Its crystal system is tetragonal. The total energy is -13.57 eV per cell. For the total magnetic moment, the calculation gives 0.121 μB per atom. The calculation puts the density of states at the Fermi level at 1.574 states/eV/atom. The value obtained for the mass density is 5.43 g/cm3.

---

LaPm2Pr4Dy2 after structural relaxation, computed with PBE.

It has space group C2/m (No. 12), with a = 15.5619 Å, b = 5.1937 Å, c = 8.1894 Å, α = 90.00°, β = 108.43° and γ = 90.00°. The distinct sites, in fractional coordinates, are La at (0.0000, 0.0000, 0.0000), Pm at (0.1117, 0.0000, 0.6677), Pr at (0.0552, 0.5000, 0.3324), Pr at (0.2224, 0.0000, 0.3299) and Dy at (0.1687, 0.5000, 0.9985).

Its crystal system is monoclinic. For the energy of formation, the calculation gives 0.018 eV per atom. For the total magnetic moment, the calculation gives 0.000 μB per atom. The calculation puts the density of states at the Fermi level at 1.624 states/eV/atom. The value obtained for the mass density is 6.97 g/cm3.

---

SrCdFe2 after structural relaxation, computed with PBE.

It has space group I4_1/amd (No. 141, origin choice 2), with a = 4.6502 Å, b = 4.6502 Å, c = 19.0239 Å, α = 90.00°, β = 90.00° and γ = 90.00°. The distinct sites, in fractional coordinates, are Sr at (0.0000, 0.2500, 0.3750), Cd at (0.0000, 0.2500, 0.8750) and Fe at (0.0000, 0.0000, 0.0000).

Its crystal system is tetragonal. For the energy of formation, the calculation gives 0.591 eV per atom. For the total magnetic moment, the calculation gives 1.206 μB per atom. The calculation puts the density of states at the Fermi level at 1.106 states/eV/atom. The value obtained for the mass density is 5.03 g/cm3.

---

Tb2Pr2Nd4Er after structural relaxation, computed with PBE.

It has space group C2/m (No. 12), with a = 19.0338 Å, b = 3.6800 Å, c = 9.7679 Å, α = 90.00°, β = 115.57° and γ = 90.00°. The distinct sites, in fractional coordinates, are Tb at (0.1478, 0.0000, 0.1666), Pr at (0.1651, 0.5000, 0.4978), Nd at (0.0181, 0.5000, 0.8328), Nd at (0.1856, 0.0000, 0.8330) and Er at (0.0000, 0.0000, 0.5000).

Its crystal system is monoclinic. For the energy of formation, the calculation gives 0.010 eV per atom. For the total magnetic moment, the calculation gives 0.000 μB per atom. The calculation puts the density of states at the Fermi level at 1.304 states/eV/atom. The value obtained for the mass density is 7.23 g/cm3.